(1)
4
Lattice="-0.932 2.136 -3.338 -3.756 1.496 -0.477 -0.642 4.011 0.264" Properties=species:S:1:pos:R:3 comment="Li2NiIr (SCAN, PBEsol geometry)" e_form_ev_per_atom=-0.036 polymorph_energy_mev_per_atom=189 volume_a3_per_atom=11.93 pbc="T T T"
Ir -2.665 3.822 -1.775
Li 0.000 0.000 0.000
Li -3.997 5.733 -2.663
Ni -1.332 1.911 -0.888



(2)
4
Lattice="-0.872 -1.469 -1.947 -1.134 -2.275 0.501 -8.128 2.571 -0.021" Properties=species:S:1:pos:R:3 comment="LiNi2Ir (SCAN, PBEsol geometry)" e_form_ev_per_atom=0.078 volume_a3_per_atom=12.19 pbc="T T T"
Ir -5.067 -0.587 -0.733
Li 0.000 0.000 0.000
Ni -2.556 -0.282 -0.365
Ni -7.578 -0.892 -1.102



(3)
4
Lattice="-0.118 2.501 -0.205 -1.227 -0.424 -4.475 -3.411 -1.163 3.170" Properties=species:S:1:pos:R:3 comment="Li2NiIr (SCAN, PBEsol geometry)" e_form_ev_per_atom=-0.183 polymorph_energy_mev_per_atom=41 volume_a3_per_atom=12.17 pbc="T T T"
Ni -0.832 0.993 -2.809
Ir -2.452 -0.230 -1.399
Li -3.609 1.301 2.564
Li -2.064 1.227 0.761



(4)
4
Lattice="-2.334 0.328 -1.028 1.053 -2.620 -3.227 -1.492 -3.427 2.295" Properties=species:S:1:pos:R:3 comment="Li2NiIr (SCAN, PBEsol geometry)" e_form_ev_per_atom=-0.191 polymorph_energy_mev_per_atom=33 volume_a3_per_atom=12.09 pbc="T T T"
Ni -0.614 -1.409 0.944
Ir -1.142 -2.298 -1.356
Li -2.543 -2.997 1.603
Li -0.713 -4.156 0.292



(5)
8
Lattice="4.758 0.000 0.000 2.379 4.557 0.000 2.379 0.000 4.557" Properties=species:S:1:pos:R:3 comment="Li2NiIr (SCAN, PBEsol geometry)" e_form_ev_per_atom=0.355 polymorph_energy_mev_per_atom=579 volume_a3_per_atom=12.35 pbc="T T T"
Ni 3.569 2.278 2.278
Ni 2.379 0.000 0.000
Ir 5.948 2.278 2.278
Ir 0.000 0.000 0.000
Li 4.164 4.480 2.201
Li 4.164 0.077 2.355
Li 2.974 2.201 0.077
Li 7.732 2.355 4.480



(6)
4
Lattice="-0.325 2.533 0.360 -3.681 -0.166 -2.154 -2.092 -0.786 3.636" Properties=species:S:1:pos:R:3 comment="LiNi2Ir (SCAN, PBEsol geometry)" e_form_ev_per_atom=-0.068 volume_a3_per_atom=11.75 pbc="T T T"
Ni -1.046 -0.393 1.818
Ni -1.840 -0.083 -1.077
Ir -3.049 0.790 0.921
Li -0.163 1.267 0.180



(7)
4
Lattice="-0.593 -1.137 -2.211 3.271 -2.527 0.422 -2.491 -2.866 2.143" Properties=species:S:1:pos:R:3 comment="LiNi2Ir (SCAN, PBEsol geometry)" e_form_ev_per_atom=-0.112 volume_a3_per_atom=11.57 pbc="T T T"
Ni -0.144 -0.166 0.124
Ni -0.093 -3.252 1.698
Ir -1.693 -2.175 0.095
Li 0.871 -2.370 -0.492



(8)
4
Lattice="-2.290 0.012 -1.094 1.863 -0.788 -3.910 -0.055 -3.703 3.019" Properties=species:S:1:pos:R:3 comment="LiNi2Ir (SCAN, PBEsol geometry)" e_form_ev_per_atom=-0.119 volume_a3_per_atom=11.53 pbc="T T T"
Ni 1.692 -0.776 -3.552
Ni -1.102 -2.103 -0.660
Ir -0.425 -3.957 0.847
Li 0.948 -2.523 -2.012



(9)
4
Lattice="-2.002 0.306 1.590 -1.653 -3.773 -1.354 3.974 -0.318 2.979" Properties=species:S:1:pos:R:3 comment="Li2NiIr (SCAN, PBEsol geometry)" e_form_ev_per_atom=-0.204 polymorph_energy_mev_per_atom=20 volume_a3_per_atom=11.98 pbc="T T T"
Ni -1.001 0.153 0.795
Ir -0.826 -1.887 -0.677
Li -0.703 -2.808 1.740
Li 1.022 -0.977 1.475



(10)
5
Lattice="-0.264 2.672 -2.689 -3.785 -0.030 0.342 0.219 2.702 2.663" Properties=species:S:1:pos:R:3 comment="LiNi3Ir (SCAN, PBEsol geometry)" e_form_ev_per_atom=0.790 volume_a3_per_atom=10.98 pbc="T T T"
Ni -1.892 -0.015 0.171
Ni 0.110 1.351 1.332
Ni -0.132 1.336 -1.345
Ir -1.915 2.672 0.158
Li 0.000 0.000 0.000



(11)
5
Lattice="-1.844 1.133 -3.461 -2.651 -3.077 0.405 -2.594 2.525 2.208" Properties=species:S:1:pos:R:3 comment="LiZrNiIr2 (SCAN, PBEsol geometry)" e_form_ev_per_atom=0.478 volume_a3_per_atom=14.13 pbc="T T T"
Ni -3.544 0.290 -0.424
Ir -1.325 -1.539 0.203
Ir -0.922 0.566 -1.730
Zr -1.297 1.263 1.104
Li 0.000 0.000 0.000



(12)
15
Lattice="-3.303 4.231 -0.465 -5.220 -0.765 -1.092 -3.825 0.922 4.347" Properties=species:S:1:pos:R:3 comment="Li8IrO6 (SCAN, PBEsol geometry)" raw_formation_energy_ev_per_atom=-1.843 volume_a3_per_atom=8.33 pbc="T T T"
Ir 0.000 0.000 0.000
O -4.181 2.640 0.494
O -5.904 3.862 2.854
O -8.167 1.748 2.296
O -7.127 3.598 -0.056
O -6.443 0.527 -0.065
O -5.221 0.790 2.846
Li -6.642 2.083 3.713
Li -4.806 0.922 0.856
Li -5.538 3.949 0.853
Li -7.738 1.815 0.306
Li -7.541 3.466 1.933
Li -6.809 0.439 1.936
Li -5.705 2.305 -0.923
Li -4.609 2.573 2.483



(13)
8
Lattice="-0.448 4.231 2.108 -2.684 -0.826 -4.259 -1.459 -2.138 3.981" Properties=species:S:1:pos:R:3 comment="LiIrO2 (SCAN, PBEsol geometry)" raw_formation_energy_ev_per_atom=-0.814 volume_a3_per_atom=10.83 pbc="T T T"
Ir -2.548 -0.959 1.383
Ir 0.000 0.000 0.000
O -1.394 0.651 1.255
O -2.332 1.552 4.227
O -2.956 -1.390 -0.511
O -2.500 1.721 -1.311
Li -2.042 2.226 0.447
Li -0.953 1.046 3.045



(14)
24
Lattice="5.050 0.021 0.000 -1.655 4.771 0.000 -1.697 -2.396 8.909" Properties=species:S:1:pos:R:3 comment="Li2IrO3 (SCAN, PBEsol geometry)" raw_formation_energy_ev_per_atom=-1.552 volume_a3_per_atom=8.95 pbc="T T T"
Li 0.000 0.000 1.414
Li 1.697 2.396 7.495
Li -0.827 2.385 3.041
Li -0.827 2.385 5.868
Li 0.000 0.000 4.403
Li 1.697 2.396 4.506
Li -0.827 2.385 0.051
Li -0.827 2.385 8.857
Ir 0.000 0.000 7.399
Ir 1.697 2.396 1.510
Ir 2.525 0.010 5.964
Ir 2.525 0.010 2.944
O 0.914 1.290 0.000
O 2.480 3.501 0.000
O 3.308 1.116 4.454
O 1.742 -1.095 4.454
O 3.331 1.207 1.510
O -1.663 1.147 7.399
O 1.663 -1.147 7.399
O 0.063 3.584 1.510
O 0.891 1.199 2.945
O -0.862 -1.158 5.964
O 0.862 1.158 5.964
O 2.504 3.593 2.945



(15)
20
Lattice="5.401 0.000 0.003 0.000 5.740 0.000 -0.067 0.000 7.721" Properties=species:S:1:pos:R:3 comment="LiPr2IrO6 (SCAN, PBEsol geometry)" raw_formation_energy_ev_per_atom=-2.548 volume_a3_per_atom=11.97 pbc="T T T"
Li 0.000 0.000 0.000
Li 2.667 2.870 3.862
Pr 2.593 5.345 1.942
Pr 0.075 2.475 1.920
Pr 5.260 3.265 5.804
Pr 2.742 0.395 5.782
Ir 2.701 2.870 0.001
Ir -0.033 0.000 3.860
O 0.979 4.086 3.493
O 1.689 1.216 0.368
O 4.356 1.654 4.230
O 3.646 4.525 7.355
O 0.424 5.615 5.770
O 2.177 2.745 5.813
O 1.093 3.977 0.346
O 1.574 1.107 3.516
O 4.241 1.764 7.378
O 3.761 4.634 4.207
O 3.158 2.996 1.911
O 4.911 0.125 1.954



(16)
22
Lattice="-0.049 6.056 2.752 2.572 -2.747 5.486 6.027 0.974 -2.641" Properties=species:S:1:pos:R:3 comment="Sr3LiIrO6 (SCAN, PBEsol geometry)" raw_formation_energy_ev_per_atom=-2.361 volume_a3_per_atom=13.35 pbc="T T T"
Sr 4.277 -1.016 3.385
Sr 1.628 3.576 3.917
Sr 3.767 1.489 5.902
Sr 6.923 0.707 1.680
Sr 4.273 5.300 2.213
Sr 4.783 2.795 -0.305
Li 6.413 3.213 4.198
Li 2.138 1.071 1.399
Ir 4.275 2.142 2.799
Ir 0.000 0.000 0.000
O 1.875 5.809 2.348
O 3.030 3.119 1.607
O 2.700 1.218 3.567
O 4.353 0.715 1.427
O 2.954 -0.825 5.777
O 6.464 0.673 -0.732
O 5.597 5.108 -0.180
O 2.086 3.611 6.329
O 4.197 3.569 4.170
O 5.850 3.066 2.031
O 5.520 1.164 3.990
O 6.676 -1.526 3.250



(17)
4
Lattice="2.815 0.000 0.000 0.000 4.360 0.000 -1.408 -2.180 4.188" Properties=species:S:1:pos:R:3 comment="LiIr2Os (SCAN, PBEsol geometry)" e_form_ev_per_atom=0.130 polymorph_energy_mev_per_atom=130 volume_a3_per_atom=12.85 pbc="T T T"
Ir 1.408 2.180 1.929
Ir 0.000 0.000 2.259
Li 0.000 2.180 0.000
Os 1.408 0.000 0.000



(18)
4
Lattice="-1.480 -1.642 1.474 -1.057 -1.992 -3.281 4.561 -2.292 -0.078" Properties=species:S:1:pos:R:3 comment="LiIr2Os (SCAN, PBEsol geometry)" e_form_ev_per_atom=0.000 polymorph_energy_mev_per_atom=0 volume_a3_per_atom=13.14 pbc="T T T"
Ir 3.307 -1.930 0.106
Ir -0.225 -2.005 1.290
Li -1.268 -1.817 -0.903
Os 1.012 -2.963 -0.942



(19)
4
Lattice="-1.592 3.849 -0.750 -4.113 0.453 -0.887 -2.587 1.806 2.821" Properties=species:S:1:pos:R:3 comment="LiIr2Os (SCAN, PBEsol geometry)" e_form_ev_per_atom=0.226 polymorph_energy_mev_per_atom=226 volume_a3_per_atom=13.40 pbc="T T T"
Ir 0.000 0.000 0.000
Ir -6.219 4.581 0.888
Li -4.146 3.054 0.592
Os -2.073 1.527 0.296



(20)
4
Lattice="-2.421 -1.301 -0.240 0.984 -1.056 -4.196 1.886 -3.768 1.391" Properties=species:S:1:pos:R:3 comment="LiIr2Os (SCAN, PBEsol geometry)" e_form_ev_per_atom=0.138 polymorph_energy_mev_per_atom=138 volume_a3_per_atom=13.58 pbc="T T T"
Ir 0.943 -1.884 0.696
Ir 0.492 -0.528 -2.098
Li 0.225 -3.063 -1.523
Os -1.210 -0.650 -0.120



(21)
5
Lattice="4.276 0.000 0.000 0.000 4.276 0.000 0.000 0.000 4.276" Properties=species:S:1:pos:R:3 comment="Li3IrOs (SCAN, PBEsol geometry)" e_form_ev_per_atom=1.774 volume_a3_per_atom=15.64 pbc="T T T"
Ir 2.138 2.138 2.138
Os 0.000 0.000 0.000
Li 0.000 2.138 0.000
Li 0.000 0.000 2.138
Li 2.138 0.000 0.000



(22)
4
Lattice="2.660 0.000 0.000 -1.330 4.398 -0.005 0.000 -0.605 4.607" Properties=species:S:1:pos:R:3 comment="LiIr2Os (SCAN, PBEsol geometry)" e_form_ev_per_atom=0.010 polymorph_energy_mev_per_atom=10 volume_a3_per_atom=13.47 pbc="T T T"
Ir 1.330 1.805 3.447
Ir 0.000 1.987 1.156
Li 0.000 -0.303 2.304
Os 1.330 0.000 0.000



(23)
4
Lattice="-2.617 -0.774 0.736 -0.020 -2.967 -3.193 2.896 -0.966 3.855" Properties=species:S:1:pos:R:3 comment="LiIrOs2 (SCAN, PBEsol geometry)" e_form_ev_per_atom=0.219 polymorph_energy_mev_per_atom=0 volume_a3_per_atom=12.86 pbc="T T T"
Ir 1.513 -2.720 2.518
Li -0.515 -1.813 1.687
Os 0.053 -0.095 0.088
Os 0.787 -2.916 -0.271



(24)
4
Lattice="-2.120 -1.057 -1.537 0.027 -3.579 2.424 -1.741 4.080 2.190" Properties=species:S:1:pos:R:3 comment="LiIr2Os (SCAN, PBEsol geometry)" e_form_ev_per_atom=0.105 polymorph_energy_mev_per_atom=105 volume_a3_per_atom=12.88 pbc="T T T"
Ir -0.017 0.011 0.016
Ir -1.251 -0.990 2.406
Li -1.056 -2.312 0.452
Os -2.558 0.418 0.646



(25)
4
Lattice="-0.699 0.591 2.548 -3.349 -2.966 -0.231 2.741 -3.212 1.497" Properties=species:S:1:pos:R:3 comment="LiIrOs2 (SCAN, PBEsol geometry)" e_form_ev_per_atom=0.432 polymorph_energy_mev_per_atom=213 volume_a3_per_atom=13.58 pbc="T T T"
Ir -0.654 -2.793 1.907
Li -0.350 0.295 1.274
Os 1.370 -1.606 0.749
Os -1.675 -1.483 -0.116



(26)
4
Lattice="-1.898 3.538 -1.035 -3.879 -0.079 -1.460 -3.119 1.435 2.323" Properties=species:S:1:pos:R:3 comment="Li2IrOs (SCAN, PBEsol geometry)" e_form_ev_per_atom=-0.114 volume_a3_per_atom=12.60 pbc="T T T"
Ir -4.448 2.447 -0.086
Li 0.000 0.000 0.000
Li -6.672 3.670 -0.129
Os -2.224 1.223 -0.043